Crystalline BaLiRe2 at its relaxed geometry, computed with PBE.

Cell lengths 6.6558, 6.6558, 6.6558 Å; angles 90.00, 90.00, 90.00 degrees
Space group Fm-3m (No. 225)
Symmetry-distinct sites (fractional):
Ba1 0.0000 0.0000 0.0000 x4
Li1 0.0000 0.0000 0.5000 x4
Re1 0.2500 0.2500 0.2500 x8

## Properties
ΔE to the lowest computed polymorph: 1328.1 meV/atom
formation energy from the elements: 1839 meV/atom